(1)
A relaxed Ce2AgS4Cl crystal, computed with GGA-PBE.

Properties
The value obtained for the raw formation energy is -11.41 eV/f.u.

Lattice parameters (Å, degrees): 12.2818 3.9798 7.6197 90.00 108.57 90.00
With the nearest neighbours (Å) after each atom.
Space group C2/m (No. 12)
Inequivalent atoms, fractional coordinates:
Ce 0.1858 0.0000 0.2122  6 S 2.73-2.86
Ag 0.0000 0.0000 0.5000  6 S 2.73
S 0.1354 0.5000 0.4378  2 Ag 2.73, 3 Ce 2.82-2.86
S 0.1732 0.0000 0.8309  3 Ce 2.73-2.86, 1 Ag 2.73
Cl 0.0000 0.5000 0.0000  4 Ce 3.07, 2 S 3.22

=====

(2)
A relaxed Ca2Sb3H2Rh5 crystal, computed with GGA-PBE.

Properties
The density of states at the Fermi level comes out at 13.0 states/eV/f.u.

Lattice parameters (Å, degrees): 4.1781 4.1781 22.9738 90.00 90.00 90.00
With the nearest neighbours (Å) after each atom.
Space group I4/mmm (No. 139)
Inequivalent atoms, fractional coordinates:
Ca 0.0000 0.0000 0.1944  1 H 2.62
Sb 0.0000 0.0000 0.3394  4 Rh 2.68
Sb 0.0000 0.0000 0.5000  12 Rh 2.89-2.95
H 0.0000 0.0000 0.0804  1 Rh 1.85
Rh 0.0000 0.0000 0.0000  2 H 1.85
Rh 0.0000 0.5000 0.0872  2 H 2.09

=====

(3)
A relaxed MnVGa crystal, computed with GGA-PBE.

Properties
The density of states at the Fermi level comes out at 1.5 states/eV/f.u.

Lattice parameters (Å, degrees): 4.2214 4.2214 5.1538 90.00 90.00 120.00
With the nearest neighbours (Å) after each atom.
Space group P6_3/mmc (No. 194)
Inequivalent atoms, fractional coordinates:
Mn 0.3333 0.6667 0.2500  5 V 2.44-2.58
V 0.3333 0.6667 0.7500  5 Mn 2.44-2.58
Ga 0.0000 0.0000 0.0000  2 Ga 2.58, 6 Mn 2.76, 6 V 2.76

=====

Quick rundown of total energy, same order as above: -88.98; -129.56; -43.21 eV for the cell shown